Below is a geometry-optimized TmTlTe3Au structure, with properties calculated at the GGA-PBE level.

The structure in extended XYZ format:
```
12
Lattice="2.077 -7.911 0.000 2.077 7.911 0.000 0.000 0.000 11.153" Properties=species:S:1:pos:R:3 pbc="T T T"
Tm 0.000 0.000 0.000
Tm 0.000 0.000 5.576
Tl 2.077 4.183 8.365
Tl 2.077 -4.183 2.788
Te 2.077 6.601 2.788
Te 2.077 2.169 0.544
Te 2.077 2.169 5.032
Te 2.077 -2.169 6.121
Te 2.077 -2.169 10.609
Te 2.077 -6.601 8.365
Au 2.077 0.538 2.788
Au 2.077 -0.538 8.365
```

As for the total moment: 0.0 μB/cell. For the electronic total energy, the calculation gives -0.2886 Ry/atom.